## La2As2Se (PBE-GGA)

Data for crystalline La2As2Se at its relaxed geometry.

The structure in POSCAR format:
```
La2As2Se
1.0
-2.205 3.652 -3.728
-5.191 -1.117 1.976
-3.267 4.621 2.153
La Se As
2 1 2
direct
0.750 0.250 0.500
0.250 0.750 0.500
0.000 0.000 0.000
0.365 0.365 0.270
0.635 0.635 0.730
```

## Properties
uncorrected energy	-0.210	Ha/atom
SG	I4/mmm
formation energy from raw total energies	-1197	meV/atom
ΔE to the lowest computed polymorph	0.2100	eV/atom